Entry 1:
Here is SrCdPb3 after structural relaxation from Alexandria via LeMat-Bulk. Energies are from GGA-PBE.

abc: 6.1823 6.1823 6.1823
angles: 90.00 90.00 90.00
Last column: nearest neighbours and their distance in Å.
Element x y z (fractional)
Pb 0.0000 0.0000 0.5000  2 Sr 3.09
Cd 0.5000 0.5000 0.5000  12 Pb 4.37
Pb 0.0000 0.5000 0.0000  2 Sr 3.09
Pb 0.5000 0.0000 0.0000  2 Sr 3.09
Sr 0.0000 0.0000 0.0000  6 Pb 3.09

Properties
The density of states at the Fermi level is 1.39 states/eV per atom. The calculation puts the calculated formation energy at 0.730 eV per atom. Its uncorrected energy is -2.014 eV per atom. Its space-group type is No. 221. Its magnetization is 0.131 μB/atom. The volume is 236.29 Å³/cell. As for the energy above the most stable polymorph in this dataset: 0.9356 eV per atom.

Entry 2:
Here is Sr2Cd5Pb3 after structural relaxation from Alexandria via LeMat-Bulk. Energies are from GGA-PBE.

abc: 4.8138 4.8138 13.2122
angles: 90.00 90.00 90.00
Last column: nearest neighbours and their distance in Å.
Element x y z (fractional)
Cd 0.0000 0.0000 0.0000  4 Cd 2.90
Sr 0.0000 0.5000 0.7715  8 Cd 3.68-3.86, 4 Pb 3.73
Pb 0.5000 0.0000 0.6563  3 Cd 2.91-3.17, 2 Pb 3.17
Pb 0.0000 0.5000 0.3437  3 Cd 2.91-3.17, 2 Pb 3.17
Pb 0.0000 0.0000 0.5000  4 Pb 3.17, 4 Cd 3.40
Cd 0.5000 0.0000 0.8769  4 Cd 2.90, 1 Pb 2.91
Cd 0.5000 0.5000 0.0000  4 Cd 2.90
Cd 0.5000 0.5000 0.5000  8 Pb 3.17-3.40
Sr 0.5000 0.0000 0.2285  8 Cd 3.68-3.86, 4 Pb 3.73
Cd 0.0000 0.5000 0.1231  4 Cd 2.90, 1 Pb 2.91

Properties
The density of states at the Fermi level is 0.57 states/eV per atom. The calculation puts the calculated formation energy at -0.200 eV per atom. Its uncorrected energy is -2.106 eV per atom. Its space-group type is No. 115. Its magnetization is 0.000 μB/atom. The volume is 306.16 Å³/cell.